No. 1
First-principles (PBE) data for crystalline SrMgBiH2 at its relaxed geometry, as listed in Alexandria. Values from VASP.

```
&SYSTEM
  ibrav = 0, nat = 10, ntyp = 4
/
ATOMIC_SPECIES
Bi 208.98 Bi.upf
H 1.01 H.upf
Mg 24.30 Mg.upf
Sr 87.62 Sr.upf
CELL_PARAMETERS angstrom
4.7163 0.0000 0.0000
-2.3581 5.9854 0.0000
0.0000 0.0000 6.8488
ATOMIC_POSITIONS angstrom
Bi 2.3581 0.7053 1.7122
H 2.3582 4.0248 0.3792
Mg 0.0000 0.0000 0.0000
Bi 0.0000 5.2801 5.1366
H 2.3582 4.0248 3.0452
Sr 0.0000 3.3196 1.7122
H 0.0000 1.9606 6.4696
H 0.0000 1.9606 3.8036
Sr 2.3581 2.6658 5.1366
Mg 0.0000 0.0000 3.4244
```

Values from the calculation:
The crystal system is orthorhombic.

***

No. 2
First-principles (PBE) data for crystalline LaYGe at its relaxed geometry, as listed in Alexandria. Values from VASP.

```
&SYSTEM
  ibrav = 0, nat = 6, ntyp = 3
/
ATOMIC_SPECIES
Y 88.91 Y.upf
Ge 72.64 Ge.upf
La 138.91 La.upf
CELL_PARAMETERS angstrom
4.5070 0.0000 0.0131
0.0000 4.5533 0.0000
-0.5281 0.0000 8.2700
ATOMIC_POSITIONS angstrom
Y 0.8639 1.1383 4.2477
Y 3.1149 3.4149 4.0353
Ge 3.0569 1.1383 2.0259
La 0.8969 3.4149 1.1472
La 3.0820 1.1383 7.1359
Ge 0.9220 3.4149 6.2572
```

Values from the calculation:
The crystal system is monoclinic. As for the calculated formation energy: -0.614 eV/atom. The value obtained for the excess energy over the best structure of this formula in the dataset is 46 meV/atom.

***

No. 3
First-principles (PBE) data for crystalline ZnSiAs at its relaxed geometry, as listed in Alexandria. Values from VASP.

```
&SYSTEM
  ibrav = 0, nat = 3, ntyp = 3
/
ATOMIC_SPECIES
As 74.92 As.upf
Si 28.09 Si.upf
Zn 65.41 Zn.upf
CELL_PARAMETERS angstrom
4.8337 0.0000 0.0000
-2.4169 4.1861 0.0000
0.0000 0.0000 2.5909
ATOMIC_POSITIONS angstrom
As 0.0000 0.0000 2.5897
Si 2.4169 1.3954 2.5896
Zn 0.0000 2.7907 0.0024
```

Values from the calculation:
The crystal system is hexagonal. For the energy relative to the elements, uncorrected, the calculation gives 0.2793 eV/atom. The value obtained for the excess energy over the best structure of this formula in the dataset is 0 meV/atom.

***

Calculated energy, -3.1768, -5.9507, -3.5029 eV per atom (same order as the records).